No. 1
# SiTe | Alexandria | GGA-PBE | relaxed
data_SiTe
_chemical_formula_sum 'Si2 Te2'
_space_group_name_H-M_alt 'P 1'
_space_group_IT_number 1
_cell_length_a 3.851
_cell_length_b 4.108
_cell_length_c 8.587
_cell_angle_alpha 90.00
_cell_angle_beta 90.82
_cell_angle_gamma 90.00
loop_
_space_group_symop_operation_xyz
'x,y,z'
loop_
_atom_site_label
_atom_site_type_symbol
_atom_site_fract_x
_atom_site_fract_y
_atom_site_fract_z
Te1 Te 0.992 0.109 0.742
Te2 Te 0.008 0.609 0.258
Si1 Si 0.502 0.718 0.070
Si2 Si 0.498 0.218 0.930
# Total energy ... -4.273 eV/atom
# Raw formation energy ... 10 meV per atom
# Spin magnetization ... 0.000 μB/cell


No. 2
# CaScMn2 | Alexandria | GGA-PBE | relaxed
data_CaScMn2
_chemical_formula_sum 'Ca1 Sc1 Mn2'
_space_group_name_H-M_alt 'P 1'
_space_group_IT_number 1
_cell_length_a 5.434
_cell_length_b 5.434
_cell_length_c 5.434
_cell_angle_alpha 133.70
_cell_angle_beta 133.70
_cell_angle_gamma 67.56
loop_
_space_group_symop_operation_xyz
'x,y,z'
loop_
_atom_site_label
_atom_site_type_symbol
_atom_site_fract_x
_atom_site_fract_y
_atom_site_fract_z
Ca1 Ca 0.750 0.250 0.500
Mn1 Mn 0.250 0.750 0.500
Mn2 Mn 0.000 0.000 0.000
Sc1 Sc 0.500 0.500 0.000
# Total energy ... -6.207 eV/atom
# E above lowest polymorph ... 223 meV/atom
# Formation enthalpy at 0 K ... 461 meV per atom
# Spin magnetization ... 6.289 μB/cell


No. 3
# LaB4W | Alexandria | GGA-PBE | relaxed
data_LaB4W
_chemical_formula_sum 'La4 B16 W4'
_space_group_name_H-M_alt 'P 1'
_space_group_IT_number 1
_cell_length_a 3.754
_cell_length_b 6.186
_cell_length_c 11.983
_cell_angle_alpha 90.00
_cell_angle_beta 90.00
_cell_angle_gamma 90.00
loop_
_space_group_symop_operation_xyz
'x,y,z'
loop_
_atom_site_label
_atom_site_type_symbol
_atom_site_fract_x
_atom_site_fract_y
_atom_site_fract_z
B1 B 0.500 0.278 0.317
B2 B 0.500 0.359 0.467
B3 B 0.500 0.722 0.683
B4 B 0.500 0.111 0.545
B5 B 0.500 0.389 0.045
B6 B 0.500 0.476 0.189
B7 B 0.500 0.141 0.967
B8 B 0.500 0.859 0.033
B9 B 0.500 0.778 0.183
B10 B 0.500 0.611 0.955
B11 B 0.500 0.976 0.311
B12 B 0.500 0.889 0.455
B13 B 0.500 0.024 0.689
B14 B 0.500 0.641 0.533
B15 B 0.500 0.222 0.817
B16 B 0.500 0.524 0.811
La1 La 0.000 0.876 0.849
La2 La 0.000 0.376 0.651
La3 La 0.000 0.624 0.349
La4 La 0.000 0.124 0.151
W1 W 0.000 0.873 0.583
W2 W 0.000 0.373 0.917
W3 W 0.000 0.127 0.417
W4 W 0.000 0.627 0.083
# Total energy ... -7.895 eV/atom
# Formation enthalpy at 0 K ... -463 meV per atom
# Spin magnetization ... 0.000 μB/cell


No. 4
# CaTlBiPtN | Alexandria | GGA-PBE | relaxed
data_CaTlBiPtN
_chemical_formula_sum 'Ca1 Tl1 Bi1 Pt1 N1'
_space_group_name_H-M_alt 'P 1'
_space_group_IT_number 1
_cell_length_a 3.546
_cell_length_b 3.546
_cell_length_c 8.722
_cell_angle_alpha 90.00
_cell_angle_beta 90.00
_cell_angle_gamma 90.00
loop_
_space_group_symop_operation_xyz
'x,y,z'
loop_
_atom_site_label
_atom_site_type_symbol
_atom_site_fract_x
_atom_site_fract_y
_atom_site_fract_z
Ca1 Ca 0.000 0.000 0.834
N1 N 0.500 0.500 0.841
Tl1 Tl 0.500 0.500 0.120
Bi1 Bi 0.000 0.000 0.436
Pt1 Pt 0.500 0.500 0.604
# Total energy ... -4.777 eV/atom
# Raw formation energy ... -254 meV per atom
# E above lowest polymorph ... 0 meV/atom
# Spin magnetization ... 0.000 μB/cell


No. 5
# RbBa4Sr5 | Alexandria | GGA-PBE | relaxed
data_RbBa4Sr5
_chemical_formula_sum 'Rb1 Ba4 Sr5'
_space_group_name_H-M_alt 'P 1'
_space_group_IT_number 1
_cell_length_a 4.872
_cell_length_b 4.872
_cell_length_c 25.637
_cell_angle_alpha 90.00
_cell_angle_beta 90.00
_cell_angle_gamma 90.00
loop_
_space_group_symop_operation_xyz
'x,y,z'
loop_
_atom_site_label
_atom_site_type_symbol
_atom_site_fract_x
_atom_site_fract_y
_atom_site_fract_z
Ba1 Ba 0.000 0.000 0.786
Ba2 Ba 0.000 0.000 0.403
Ba3 Ba 0.000 0.000 0.214
Ba4 Ba 0.000 0.000 0.597
Sr1 Sr 0.500 0.500 0.884
Sr2 Sr 0.500 0.500 0.116
Sr3 Sr 0.500 0.500 0.308
Sr4 Sr 0.500 0.500 0.692
Sr5 Sr 0.500 0.500 0.500
Rb1 Rb 0.000 0.000 0.000
# Total energy ... -1.665 eV/atom
# Formation enthalpy at 0 K ... 42 meV per atom
# Spin magnetization ... 0.000 μB/cell


No. 6
# Dy5Si2Hg | Alexandria | GGA-PBE | relaxed
data_Dy5Si2Hg
_chemical_formula_sum 'Dy10 Si4 Hg2'
_space_group_name_H-M_alt 'P 1'
_space_group_IT_number 1
_cell_length_a 7.563
_cell_length_b 7.563
_cell_length_c 8.895
_cell_angle_alpha 115.16
_cell_angle_beta 115.16
_cell_angle_gamma 90.00
loop_
_space_group_symop_operation_xyz
'x,y,z'
loop_
_atom_site_label
_atom_site_type_symbol
_atom_site_fract_x
_atom_site_fract_y
_atom_site_fract_z
Hg1 Hg 0.750 0.750 0.500
Hg2 Hg 0.250 0.250 0.500
Dy1 Dy 0.000 0.000 0.000
Dy2 Dy 0.500 0.500 0.000
Dy3 Dy 0.469 0.311 0.280
Dy4 Dy 0.811 0.969 0.280
Dy5 Dy 0.031 0.531 0.720
Dy6 Dy 0.969 0.469 0.280
Dy7 Dy 0.689 0.189 0.720
Dy8 Dy 0.311 0.811 0.280
Dy9 Dy 0.531 0.689 0.720
Dy10 Dy 0.189 0.031 0.720
Si1 Si 0.376 0.876 0.000
Si2 Si 0.876 0.624 0.000
Si3 Si 0.124 0.376 0.000
Si4 Si 0.624 0.124 0.000
# Total energy ... -4.855 eV/atom
# Raw formation energy ... -586 meV per atom
# Spin magnetization ... 0.000 μB/cell


No. 7
# Al2InO2 | Alexandria | GGA-PBE | relaxed
data_Al2InO2
_chemical_formula_sum 'Al2 In1 O2'
_space_group_name_H-M_alt 'P 1'
_space_group_IT_number 1
_cell_length_a 3.449
_cell_length_b 3.449
_cell_length_c 6.913
_cell_angle_alpha 75.56
_cell_angle_beta 75.56
_cell_angle_gamma 90.00
loop_
_space_group_symop_operation_xyz
'x,y,z'
loop_
_atom_site_label
_atom_site_type_symbol
_atom_site_fract_x
_atom_site_fract_y
_atom_site_fract_z
Al1 Al 0.684 0.684 0.631
Al2 Al 0.316 0.316 0.369
O1 O 0.250 0.750 0.500
O2 O 0.750 0.250 0.500
In1 In 0.000 0.000 0.000
# Total energy ... -5.603 eV/atom
# Raw formation energy ... -1575 meV per atom
# E above lowest polymorph ... 0 meV/atom
# Spin magnetization ... 0.000 μB/cell


No. 8
# Nd6SmEr2Sc | Alexandria | GGA-PBE | relaxed
data_Nd6SmEr2Sc
_chemical_formula_sum 'Nd12 Sm2 Er4 Sc2'
_space_group_name_H-M_alt 'P 1'
_space_group_IT_number 1
_cell_length_a 9.365
_cell_length_b 8.976
_cell_length_c 8.976
_cell_angle_alpha 117.34
_cell_angle_beta 92.86
_cell_angle_gamma 92.86
loop_
_space_group_symop_operation_xyz
'x,y,z'
loop_
_atom_site_label
_atom_site_type_symbol
_atom_site_fract_x
_atom_site_fract_y
_atom_site_fract_z
Nd1 Nd 0.611 0.482 0.711
Nd2 Nd 0.696 0.988 0.556
Nd3 Nd 0.553 0.771 0.122
Nd4 Nd 0.389 0.518 0.289
Nd5 Nd 0.804 0.444 0.012
Nd6 Nd 0.947 0.878 0.229
Nd7 Nd 0.111 0.711 0.482
Nd8 Nd 0.304 0.012 0.444
Nd9 Nd 0.889 0.289 0.518
Nd10 Nd 0.196 0.556 0.988
Nd11 Nd 0.053 0.122 0.771
Nd12 Nd 0.447 0.229 0.878
Er1 Er 0.450 0.792 0.694
Er2 Er 0.050 0.306 0.208
Er3 Er 0.950 0.694 0.792
Er4 Er 0.550 0.208 0.306
Sm1 Sm 0.250 0.972 0.028
Sm2 Sm 0.750 0.028 0.972
Sc1 Sc 0.750 0.577 0.423
Sc2 Sc 0.250 0.423 0.577
# Total energy ... -4.752 eV/atom
# Formation enthalpy at 0 K ... 127 meV per atom
# Spin magnetization ... 0.000 μB/cell


Number 1: DOS at the Fermi energy 0.013 states/eV/f.u.. Number 2: DOS at the Fermi energy 4.609 states/eV/f.u.. Number 3: DOS at the Fermi energy 0.034 states/eV/f.u.. Number 4: DOS at the Fermi energy 1.779 states/eV/f.u.. Number 5: DOS at the Fermi energy 13.587 states/eV/f.u.. Number 6: DOS at the Fermi energy 6.529 states/eV/f.u.. Number 7: DOS at the Fermi energy 1.817 states/eV/f.u.. Number 8: DOS at the Fermi energy 14.794 states/eV/f.u..